VASP calculation (PBE) on a relaxed Co4Pt2W crystal.

## Properties
DOS at the Fermi energy   0.98 states/eV/atom
E   -7.609 eV per atom
Space-group type   P1
Theoretical density   14.52 Mg/m³
Calculated formation energy   0.03 eV/atom

a = 5.0599 Å, b = 6.2267 Å, c = 6.2376 Å
α = 90.76°, β = 102.77°, γ = 104.38°
Atoms (fractional coordinates):
1 Co 0.0000 0.0000 0.0000
2 Co 0.0130 0.8331 0.3262
3 Co 0.3384 0.5988 0.4489
4 Co 0.5273 0.8873 0.1593
5 Co 0.5893 0.5100 0.1803
6 Co 0.6074 0.6482 0.8467
7 Co 0.6815 0.2515 0.8630
8 Co 0.8341 0.5488 0.5748
9 Pt 0.1733 0.3105 0.7488
10 Pt 0.2698 0.8877 0.7356
11 Pt 0.4277 0.1928 0.4128
12 Pt 0.9148 0.2585 0.2855
13 W 0.0812 0.5922 0.0206
14 W 0.7457 0.9378 0.5912

VASP calculation (PBE) on a relaxed CoPt2W crystal.

## Properties
DOS at the Fermi energy   0.82 states/eV/atom
E   -8.070 eV per atom
Space-group type   P4mm
Relative energy among the computed polymorphs   0.151 eV per atom
Theoretical density   17.88 Mg/m³
Calculated formation energy   -0.03 eV/atom

a = 3.2380 Å, b = 3.2380 Å, c = 5.6066 Å
α = 90.00°, β = 90.00°, γ = 90.00°
Atoms (fractional coordinates):
1 Co 0.0000 0.0000 0.0000
2 Pt 0.0000 0.0000 0.5334
3 Pt 0.5000 0.5000 0.2494
4 W 0.5000 0.5000 0.7984

VASP calculation (PBE) on a relaxed CoPt2W crystal.

## Properties
DOS at the Fermi energy   1.13 states/eV/atom
E   -8.103 eV per atom
Space-group type   C2/m
Relative energy among the computed polymorphs   0.118 eV per atom
Theoretical density   18.06 Mg/m³
Calculated formation energy   -0.07 eV/atom

a = 4.7467 Å, b = 4.7467 Å, c = 4.7244 Å
α = 99.96°, β = 99.96°, γ = 33.76°
Atoms (fractional coordinates):
1 Co 0.0000 0.0000 0.0000
2 Pt 0.2526 0.2526 0.7534
3 Pt 0.7474 0.7474 0.2466
4 W 0.5000 0.5000 0.5000

> Number 2 is which compound?

CoPt2W